VASP calculation (PBE) on a relaxed PmU2MnN4 crystal.

Summary:
Size of the total moment   0.85 μB per formula unit
ΔE_f (raw)   -9.47 eV/f.u.
DOS at the Fermi energy   26.7 states/eV per cell

Unit cell a=3.3555 b=11.5489 c=11.2645 alpha=90.00 beta=90.00 gamma=90.00
Last column: nearest neighbours and their distance in Å.
Space group Cmcm (No. 63)
Asymmetric unit:
Pm  0.0000  0.1021  0.2500 x4  6 N 2.51-2.69
U  0.0000  0.3677  0.0573 x8  6 N 2.26-2.41
Mn  0.0000  0.1607  0.7500 x4  4 N 1.97-2.05
N  0.0000  0.0000  0.0000 x4  4 U 2.36
N  0.0000  0.2709  0.6167 x8  1 Mn 1.97
N  0.0000  0.4409  0.2500 x4  2 Mn 2.05

VASP calculation (PBE) on a relaxed Sr5NbN4Cl2 crystal.

Summary:
Size of the total moment   0.42 μB per formula unit
ΔE_f (raw)   -14.43 eV/f.u.
DOS at the Fermi energy   4.2 states/eV per cell

Unit cell a=8.1730 b=10.1535 c=6.3363 alpha=90.00 beta=90.00 gamma=90.00
Last column: nearest neighbours and their distance in Å.
Space group Amm2 (No. 38)
Asymmetric unit:
Sr  0.0000  0.0000  0.0000 x2  2 N 2.57
Sr  0.2994  0.1771  0.4011 x8  3 N 2.57-2.64
Nb  0.5000  0.0000  0.9124 x2  4 N 2.00-2.02
N  0.3043  0.0000  0.1022 x4  1 Nb 2.00
N  0.5000  0.1612  0.7270 x4  1 Nb 2.02
Cl  0.0000  0.2200  0.6846 x4  6 Sr 2.99-3.07, 2 Cl 3.23

VASP calculation (PBE) on a relaxed ErTm3Tl3Te8 crystal.

Summary:
Size of the total moment   0.00 μB per formula unit
ΔE_f (raw)   -15.49 eV/f.u.
DOS at the Fermi energy   10.7 states/eV per cell

Unit cell a=15.0868 b=8.6934 c=9.6211 alpha=90.00 beta=121.56 gamma=90.00
Last column: nearest neighbours and their distance in Å.
Space group C2/m (No. 12)
Asymmetric unit:
Er  0.0000  0.0000  0.0000 x2  6 Te 3.08
Tm  0.0000  0.5000  0.0000 x2  6 Te 3.05-3.06
Tm  0.2500  0.2500  0.0000 x4  6 Te 3.05-3.06
Tl  0.0000  0.0000  0.5000 x2  6 Te 3.44-3.45
Tl  0.2500  0.2500  0.5000 x4  6 Te 3.44-3.45
Te  0.0131  0.2521  0.7873 x8  2 Tm 3.05, 1 Er 3.08
Te  0.2375  0.5000  0.2126 x4  3 Tm 3.06
Te  0.2390  0.0000  0.2127 x4  2 Tm 3.05, 1 Er 3.08

VASP calculation (PBE) on a relaxed SrLi2Os crystal.

Summary:
Offset from the most stable computed form   0.503 eV per formula unit
Size of the total moment   0.00 μB per formula unit
DOS at the Fermi energy   4.5 states/eV per cell
E_form   0.6219 eV per atom

Unit cell a=2.9725 b=5.1377 c=9.7119 alpha=90.00 beta=90.00 gamma=90.00
Last column: nearest neighbours and their distance in Å.
Space group Imm2 (No. 44)
Asymmetric unit:
Sr  0.0000  0.0000  0.0000 x2  6 Li 2.97-3.03, 2 Sr 2.97, 2 Os 3.10
Li  0.0000  0.0000  0.5014 x2  2 Os 2.59, 2 Li 2.68
Li  0.0000  0.5000  0.7715 x2  4 Li 2.68-2.97
Os  0.0000  0.5000  0.2198 x2  2 Li 2.59

VASP calculation (PBE) on a relaxed Sc2TlCu crystal.

Summary:
Size of the total moment   0.00 μB per formula unit
DOS at the Fermi energy   8.7 states/eV per cell
E_form   -0.1801 eV per atom

Unit cell a=4.4354 b=3.4990 c=10.9075 alpha=90.00 beta=90.00 gamma=90.00
Last column: nearest neighbours and their distance in Å.
Space group Amm2 (No. 38)
Asymmetric unit:
Sc  0.0000  0.0000  0.0000 x2  1 Cu 2.77, 4 Tl 2.98
Sc  0.5000  0.0000  0.3146 x2  4 Cu 2.92, 3 Tl 2.98-3.03
Tl  0.5000  0.0000  0.5877 x2  2 Cu 2.81, 7 Sc 2.98-3.03
Cu  0.0000  0.0000  0.7462 x2  5 Sc 2.77-2.92, 2 Tl 2.81

VASP calculation (PBE) on a relaxed Fe2AsBr crystal.

Summary:
Offset from the most stable computed form   1.516 eV per formula unit
Size of the total moment   5.43 μB per formula unit
ΔE_f (raw)   1.61 eV/f.u.
DOS at the Fermi energy   32.0 states/eV per cell

Unit cell a=5.8255 b=5.8255 c=10.0712 alpha=90.00 beta=90.00 gamma=90.00
Last column: nearest neighbours and their distance in Å.
Space group I-42d (No. 122)
Asymmetric unit:
Fe  0.2298  0.2500  0.1250 x8  2 As 2.34, 2 Br 2.49
As  0.0000  0.0000  0.0000 x4  4 Fe 2.34
Br  0.0000  0.0000  0.5000 x4  4 Fe 2.49

VASP calculation (PBE) on a relaxed Ti6MnZn2 crystal.

Summary:
Size of the total moment   0.00 μB per formula unit
DOS at the Fermi energy   12.8 states/eV per cell
E_form   -0.0982 eV per atom

Unit cell a=7.3692 b=7.3692 c=3.0602 alpha=90.00 beta=90.00 gamma=120.00
Last column: nearest neighbours and their distance in Å.
Space group P-62m (No. 189)
Asymmetric unit:
Ti  0.0000  0.3801  0.0000 x3  4 Zn 2.77, 1 Mn 2.80, 8 Ti 2.91-3.08
Ti  0.0000  0.7435  0.5000 x3  2 Mn 2.43
Mn  0.0000  0.0000  0.0000 x1  6 Ti 2.43
Zn  0.3333  0.6667  0.5000 x2  9 Ti 2.77-2.78, 2 Zn 3.06

VASP calculation (PBE) on a relaxed TiBeP3 crystal.

Summary:
Offset from the most stable computed form   1.208 eV per formula unit
Size of the total moment   0.00 μB per formula unit
DOS at the Fermi energy   2.7 states/eV per cell
E_form   0.7157 eV per atom

Unit cell a=4.6497 b=4.6497 c=4.6497 alpha=90.00 beta=90.00 gamma=90.00
Last column: nearest neighbours and their distance in Å.
Space group Pm-3m (No. 221)
Asymmetric unit:
Ti  0.0000  0.0000  0.0000 x1  6 P 2.32
Be  0.5000  0.5000  0.5000 x1  12 P 3.29
P  0.0000  0.0000  0.5000 x3  2 Ti 2.32

VASP calculation (PBE) on a relaxed Th3BiC crystal.

Summary:
Offset from the most stable computed form   0.647 eV per formula unit
Size of the total moment   0.00 μB per formula unit
DOS at the Fermi energy   18.5 states/eV per cell
E_form   -0.2693 eV per atom

Unit cell a=9.5754 b=6.5726 c=9.6531 alpha=90.00 beta=112.46 gamma=90.00
Last column: nearest neighbours and their distance in Å.
Space group P2_1/c (No. 14)
Asymmetric unit:
Th  0.0461  0.0951  0.3467 x4  3 C 2.62-2.68
Th  0.1787  0.5811  0.5369 x4  2 C 2.54-2.57
Th  0.3336  0.1356  0.7463 x4  1 C 2.44
Bi  0.3771  0.6588  0.8919 x4  1 Bi 3.24, 5 Th 3.24-3.51
C  0.0756  0.2465  0.1086 x4  6 Th 2.44-2.68

VASP calculation (PBE) on a relaxed PaAgRh2 crystal.

Summary:
Offset from the most stable computed form   0.000 eV per formula unit
Size of the total moment   0.00 μB per formula unit
DOS at the Fermi energy   0.8 states/eV per cell
E_form   -0.6432 eV per atom

Unit cell a=4.3163 b=4.3163 c=3.7867 alpha=90.00 beta=90.00 gamma=90.00
Last column: nearest neighbours and their distance in Å.
Space group P4/mmm (No. 123)
Asymmetric unit:
Pa  0.0000  0.0000  0.0000 x1  8 Rh 2.87, 4 Ag 3.05
Ag  0.5000  0.5000  0.0000 x1  8 Rh 2.87, 4 Pa 3.05
Rh  0.0000  0.5000  0.5000 x2  4 Pa 2.87, 4 Ag 2.87, 4 Rh 3.05

VASP calculation (PBE) on a relaxed PuCo3Ge crystal.

Summary:
Size of the total moment   2.61 μB per formula unit
DOS at the Fermi energy   43.9 states/eV per cell
E_form   -0.1260 eV per atom

Unit cell a=5.0494 b=7.0718 c=8.2038 alpha=90.00 beta=90.00 gamma=90.00
Last column: nearest neighbours and their distance in Å.
Space group Imma (No. 74)
Asymmetric unit:
Pu  0.0000  0.2500  0.0091 x4  5 Co 2.53-2.75
Co  0.0000  0.2500  0.7010 x4  2 Ge 2.42, 6 Co 2.48-2.65, 1 Pu 2.53
Co  0.2500  0.0471  0.2500 x8  2 Ge 2.43, 4 Co 2.48-2.52
Ge  0.0000  0.0000  0.5000 x4  6 Co 2.42-2.43

VASP calculation (PBE) on a relaxed LiScAu crystal.

Summary:
Offset from the most stable computed form   0.282 eV per formula unit
Size of the total moment   0.00 μB per formula unit
DOS at the Fermi energy   2.4 states/eV per cell
E_form   -0.4360 eV per atom

Unit cell a=4.4286 b=4.4286 c=3.2466 alpha=90.00 beta=90.00 gamma=120.00
Last column: nearest neighbours and their distance in Å.
Space group P3m1 (No. 156)
Asymmetric unit:
Li  0.0000  0.0000  0.0000 x1  3 Au 2.56
Sc  0.6667  0.3333  0.4991 x1  6 Au 3.03, 6 Li 3.03, 2 Sc 3.25
Au  0.3333  0.6667  0.9980 x1  3 Li 2.56

VASP calculation (PBE) on a relaxed Nd3Cd2Ga crystal.

Summary:
Offset from the most stable computed form   0.000 eV per formula unit
Size of the total moment   0.43 μB per formula unit
DOS at the Fermi energy   6.2 states/eV per cell
E_form   -0.3932 eV per atom

Unit cell a=3.7541 b=3.7541 c=11.6954 alpha=90.00 beta=90.00 gamma=90.00
Last column: nearest neighbours and their distance in Å.
Space group P4/mmm (No. 123)
Asymmetric unit:
Nd  0.0000  0.0000  0.0000 x1  8 Cd 3.32
Nd  0.0000  0.0000  0.3472 x2  4 Ga 3.20, 4 Cd 3.36, 1 Nd 3.57
Cd  0.5000  0.5000  0.1706 x2  8 Nd 3.32-3.36
Ga  0.5000  0.5000  0.5000 x1  8 Nd 3.20

VASP calculation (PBE) on a relaxed RbZr3Nb crystal.

Summary:
Offset from the most stable computed form   5.785 eV per formula unit
Size of the total moment   0.88 μB per formula unit
DOS at the Fermi energy   7.9 states/eV per cell
E_form   2.1866 eV per atom

Unit cell a=4.9810 b=4.9810 c=4.9810 alpha=90.00 beta=90.00 gamma=90.00
Last column: nearest neighbours and their distance in Å.
Space group Pm-3m (No. 221)
Asymmetric unit:
Rb  0.0000  0.0000  0.0000 x1  6 Zr 2.49
Zr  0.0000  0.0000  0.5000 x3  2 Rb 2.49
Nb  0.5000  0.5000  0.5000 x1  12 Zr 3.52

VASP calculation (PBE) on a relaxed LiInCu2 crystal.

Summary:
Size of the total moment   0.00 μB per formula unit
DOS at the Fermi energy   2.3 states/eV per cell
E_form   0.2411 eV per atom

Unit cell a=2.8006 b=4.5360 c=10.2979 alpha=90.00 beta=90.00 gamma=90.00
Last column: nearest neighbours and their distance in Å.
Space group Immm (No. 71)
Asymmetric unit:
Li  0.0000  0.0000  0.0000 x2  2 Cu 2.49, 4 In 2.67
In  0.0000  0.0000  0.5000 x2  2 Cu 2.66, 4 Li 2.67, 2 In 2.80
Cu  0.0000  0.0000  0.2414 x4  1 Li 2.49, 1 In 2.66, 4 Cu 2.67

VASP calculation (PBE) on a relaxed BaNi2Se crystal.

Summary:
Size of the total moment   0.00 μB per formula unit
ΔE_f (raw)   -0.70 eV/f.u.
DOS at the Fermi energy   8.9 states/eV per cell

Unit cell a=4.1530 b=6.1709 c=7.3459 alpha=90.00 beta=90.00 gamma=90.00
Last column: nearest neighbours and their distance in Å.
Space group Imm2 (No. 44)
Asymmetric unit:
Ba  0.0000  0.0000  0.0000 x2  4 Se 3.25-3.30, 5 Ni 3.27-3.54
Ni  0.0000  0.0000  0.4825 x2  2 Se 2.32, 2 Ni 2.44
Ni  0.0000  0.5000  0.1561 x2  1 Se 2.32, 2 Ni 2.44
Se  0.0000  0.5000  0.8404 x2  3 Ni 2.32

VASP calculation (PBE) on a relaxed HfCo2TeRu crystal.

Summary:
Size of the total moment   3.69 μB per formula unit
ΔE_f (raw)   4.68 eV/f.u.
DOS at the Fermi energy   4.9 states/eV per cell

Unit cell a=4.5056 b=4.5056 c=4.9127 alpha=90.00 beta=90.00 gamma=90.00
Last column: nearest neighbours and their distance in Å.
Space group P4/mmm (No. 123)
Asymmetric unit:
Hf  0.0000  0.0000  0.0000 x1  4 Te 3.19, 8 Co 3.33
Co  0.0000  0.5000  0.5000 x2  2 Ru 2.25
Te  0.5000  0.5000  0.0000 x1  2 Ru 2.46
Ru  0.5000  0.5000  0.5000 x1  4 Co 2.25, 2 Te 2.46

VASP calculation (PBE) on a relaxed GdSiPd2 crystal.

Summary:
Size of the total moment   7.05 μB per formula unit
ΔE_f (raw)   -3.20 eV/f.u.
DOS at the Fermi energy   8.3 states/eV per cell

Unit cell a=4.2773 b=4.2773 c=14.4341 alpha=90.00 beta=90.00 gamma=120.00
Last column: nearest neighbours and their distance in Å.
Space group R-3m (No. 166, hexagonal axes)
Asymmetric unit:
Gd  0.0000  0.0000  0.0000 x3  8 Pd 3.03-3.04
Si  0.0000  0.0000  0.5000 x3  6 Pd 2.55
Pd  0.0000  0.0000  0.2102 x6  3 Si 2.55, 3 Pd 2.77

VASP calculation (PBE) on a relaxed Ag2BiHPt crystal.

Summary:
Size of the total moment   0.00 μB per formula unit
Final energy   -18.42 eV for the cell shown
DOS at the Fermi energy   1.7 states/eV per cell

Unit cell a=4.9037 b=4.9037 c=3.5333 alpha=90.00 beta=90.00 gamma=90.00
Last column: nearest neighbours and their distance in Å.
Space group P4/mmm (No. 123)
Asymmetric unit:
Ag  0.0000  0.5000  0.0000 x2  2 H 2.45
Bi  0.0000  0.0000  0.5000 x1  8 Ag 3.02
H  0.5000  0.5000  0.0000 x1  2 Pt 1.77
Pt  0.5000  0.5000  0.5000 x1  2 H 1.77

VASP calculation (PBE) on a relaxed PrNd2Nb crystal.

Summary:
Size of the total moment   0.01 μB per formula unit
DOS at the Fermi energy   20.3 states/eV per cell
E_form   0.6101 eV per atom

Unit cell a=3.3718 b=3.3718 c=36.4126 alpha=90.00 beta=90.00 gamma=120.00
Last column: nearest neighbours and their distance in Å.
Space group R-3m (No. 166, hexagonal axes)
Asymmetric unit:
Pr  0.0000  0.0000  0.0000 x3  6 Pr 3.37, 6 Nd 3.71
Nd  0.0000  0.0000  0.4201 x6  1 Nb 2.91
Nb  0.0000  0.0000  0.5000 x3  2 Nd 2.91